(1)
# MnSb (PBE, optimized geometry)
data_MnSb
_chemical_formula_sum 'Mn8 Sb8'
_cell_length_a 9.823
_cell_length_b 9.823
_cell_length_c 3.634
_cell_angle_alpha 90.00
_cell_angle_beta 90.00
_cell_angle_gamma 90.00
_space_group_name_H-M_alt 'I 4/m'
_space_group_IT_number 87
_space_group_name_Hall '-I 4'
loop_
_atom_site_label
_atom_site_fract_x
_atom_site_fract_y
_atom_site_fract_z
Mn1 0.084 0.613 0.000
Sb1 0.124 0.209 0.000
# formation energy from raw total energies: 0.233 eV per atom



(2)
# Li2TmThAu4 (PBE, optimized geometry)
data_Li2TmThAu4
_chemical_formula_sum 'Li6 Tm3 Th3 Au12'
_cell_length_a 4.6028
_cell_length_b 4.6028
_cell_length_c 27.1426
_cell_angle_alpha 90.00
_cell_angle_beta 90.00
_cell_angle_gamma 120.00
_space_group_name_H-M_alt 'R -3 m'
_space_group_IT_number 166
_space_group_name_Hall '-R 3 2"'
loop_
_atom_site_label
_atom_site_fract_x
_atom_site_fract_y
_atom_site_fract_z
Li1 0.0000 0.0000 0.2430
Tm1 0.0000 0.0000 0.5000
Th1 0.0000 0.0000 0.0000
Au1 0.0000 0.0000 0.1154
Au2 0.0000 0.0000 0.3912
# formation enthalpy at 0 K: -5.45 eV/f.u.